The following is a DFT calculation (PBE) of a relaxed structure of AgOs2Cl.

a = 6.281 Å, b = 6.281 Å, c = 6.281 Å
α = 90.00°, β = 90.00°, γ = 90.00°
Fractional coordinates of all 16 atoms:
Ag 0.000 0.000 0.000
Ag 0.000 0.500 0.500
Ag 0.500 0.000 0.500
Ag 0.500 0.500 0.000
Os 0.250 0.250 0.250
Os 0.250 0.250 0.750
Os 0.250 0.750 0.250
Os 0.250 0.750 0.750
Os 0.750 0.250 0.250
Os 0.750 0.250 0.750
Os 0.750 0.750 0.250
Os 0.750 0.750 0.750
Cl 0.000 0.000 0.500
Cl 0.000 0.500 0.000
Cl 0.500 0.000 0.000
Cl 0.500 0.500 0.500

Results
* size of the total moment: 0.00 μB per cell
* calculated total energy: -81.7 eV for the cell shown
* energy relative to the elements, uncorrected: 38.844 kcal/mol of atoms
* energy above the lowest structure with this stoichiometry: 5.36 eV per formula unit
* space-group type: Fm-3m (225)

The following is a DFT calculation (PBE) of a relaxed structure of Ag2OsCl.

a = 2.886 Å, b = 2.886 Å, c = 8.558 Å
α = 90.00°, β = 90.00°, γ = 90.00°
Fractional coordinates of all 4 atoms:
Ag 0.000 0.000 0.000
Ag 0.500 0.500 0.245
Os 0.500 0.500 0.762
Cl 0.000 0.000 0.566

Results
* size of the total moment: 1.02 μB per cell
* calculated total energy: -15.9 eV for the cell shown
* energy relative to the elements, uncorrected: 16.659 kcal/mol of atoms
* energy above the lowest structure with this stoichiometry: 0.86 eV per formula unit
* space-group type: P4mm (99)

The following is a DFT calculation (PBE) of a relaxed structure of Ag2OsCl.

a = 6.702 Å, b = 6.702 Å, c = 6.702 Å
α = 90.00°, β = 90.00°, γ = 90.00°
Fractional coordinates of all 16 atoms:
Ag 0.250 0.250 0.250
Ag 0.250 0.250 0.750
Ag 0.250 0.750 0.250
Ag 0.250 0.750 0.750
Ag 0.750 0.250 0.250
Ag 0.750 0.250 0.750
Ag 0.750 0.750 0.250
Ag 0.750 0.750 0.750
Os 0.000 0.000 0.000
Os 0.000 0.500 0.500
Os 0.500 0.000 0.500
Os 0.500 0.500 0.000
Cl 0.000 0.000 0.500
Cl 0.000 0.500 0.000
Cl 0.500 0.000 0.000
Cl 0.500 0.500 0.500

Results
* size of the total moment: 11.03 μB per cell
* calculated total energy: -55.6 eV for the cell shown
* energy relative to the elements, uncorrected: 28.091 kcal/mol of atoms
* energy above the lowest structure with this stoichiometry: 2.85 eV per formula unit
* space-group type: Fm-3m (225)

The following is a DFT calculation (PBE) of a relaxed structure of AgOs2Cl.

a = 2.736 Å, b = 4.766 Å, c = 4.996 Å
α = 90.00°, β = 90.00°, γ = 90.00°
Fractional coordinates of all 4 atoms:
Ag 0.000 0.000 0.000
Os 0.000 0.500 0.500
Os 0.500 0.000 0.500
Cl 0.500 0.500 0.000

Results
* size of the total moment: 0.00 μB per cell
* calculated total energy: -22.5 eV for the cell shown
* energy relative to the elements, uncorrected: 26.694 kcal/mol of atoms
* energy above the lowest structure with this stoichiometry: 3.25 eV per formula unit
* space-group type: Pmmm (47)